No. 1
Below is a relaxed Nb2CdBi2 crystal, with properties calculated at the PBE level.

a b c (Å): 7.822 7.822 3.781
angles (deg): 90.00 90.00 90.00
Positions (direct):
Nb (0.864, 0.636, 0.000)
Cd (0.500, 0.500, 0.000)
Bi (0.158, 0.658, 0.500)
Bi (0.842, 0.342, 0.500)
Bi (0.658, 0.842, 0.500)
Cd (0.000, 0.000, 0.000)
Nb (0.364, 0.864, 0.000)
Nb (0.136, 0.364, 0.000)
Bi (0.342, 0.158, 0.500)
Nb (0.636, 0.136, 0.000)

Results
ΔE_f = 0.218 eV/atom
calculated volume = 23.13 Å³/atom
energy = -5.54 eV per atom
total magnetic moment = 0.00 μB per cell

=====

No. 2
Below is a relaxed NbCdBi2O6 crystal, with properties calculated at the PBE level.

a b c (Å): 6.022 6.022 5.791
angles (deg): 90.04 121.32 119.98
Positions (direct):
O (0.532, 0.875, 0.699)
Bi (0.570, 0.785, 0.341)
Nb (0.033, 0.016, 0.035)
Cd (0.020, 0.510, 0.516)
O (0.074, 0.332, 0.189)
Bi (0.509, 0.254, 0.749)
O (0.872, 0.741, 0.189)
O (0.838, 0.657, 0.698)
O (0.056, 0.180, 0.698)
O (0.462, 0.129, 0.189)

Results
formation energy without anion corrections = -1.5268 eV/atom
calculated volume = 14.55 Å³/atom
energy = -6.38 eV per atom
total magnetic moment = 0.00 μB per cell

=====

No. 3
Below is a relaxed Nb2CdBiPb crystal, with properties calculated at the PBE level.

a b c (Å): 5.387 5.487 5.387
angles (deg): 90.00 90.00 90.00
Last column: magnetic moment on the atom in μB.
Positions (direct):
Nb (0.000, 0.000, 0.500)  1.95
Cd (0.000, 0.500, 0.000)  0.00
Pb (0.500, 0.500, 0.500)  -0.07
Nb (0.500, 0.000, 0.000)  1.69
Bi (0.000, 0.000, 0.000)  -0.04

Results
ΔE_f = 1.426 eV/atom
calculated volume = 31.85 Å³/atom
energy = -4.30 eV per atom
total magnetic moment = 4.39 μB per cell
energy above the lowest structure with this stoichiometry = 0 meV per atom

=====

No. 4
Below is a relaxed NbTlCdBi2 crystal, with properties calculated at the PBE level.

a b c (Å): 5.505 5.580 5.505
angles (deg): 90.00 90.00 90.00
Positions (direct):
Nb (0.000, 0.000, 0.000)
Tl (0.500, 0.500, 0.500)
Bi (0.500, 0.000, 0.000)
Bi (0.000, 0.000, 0.500)
Cd (0.000, 0.500, 0.000)

Results
ΔE_f = 0.324 eV/atom
calculated volume = 33.82 Å³/atom
energy = -3.90 eV per atom
total magnetic moment = 0.00 μB per cell

=====

No. 5
Below is a relaxed NbVCd2Bi crystal, with properties calculated at the PBE level.

a b c (Å): 5.361 5.363 5.361
angles (deg): 90.00 90.00 90.00
Last column: magnetic moment on the atom in μB.
Positions (direct):
Cd (0.000, 0.000, 0.500)  0.02
V (0.500, 0.500, 0.500)  -0.51
Cd (0.500, 0.000, 0.000)  0.03
Nb (0.000, 0.000, 0.000)  0.56
Bi (0.000, 0.500, 0.000)  -0.01

Results
ΔE_f = 1.430 eV/atom
calculated volume = 30.83 Å³/atom
energy = -3.55 eV per atom
total magnetic moment = 0.18 μB per cell

=====

No. 6
Below is a relaxed Nd5Cd2Bi crystal, with properties calculated at the PBE level.

a b c (Å): 8.776 8.776 9.018
angles (deg): 119.12 119.12 90.00
Positions (direct):
Nd (0.303, 0.803, 0.298)
Nd (0.697, 0.197, 0.702)
Nd (0.495, 0.303, 0.298)
Nd (0.197, 0.005, 0.702)
Bi (0.750, 0.750, 0.500)
Nd (0.500, 0.500, 0.000)
Nd (0.995, 0.495, 0.298)
Cd (0.359, 0.859, 0.000)
Nd (0.803, 0.995, 0.298)
Cd (0.141, 0.359, 0.000)
Bi (0.250, 0.250, 0.500)
Nd (0.000, 0.000, 0.000)
Cd (0.641, 0.141, 0.000)
Nd (0.505, 0.697, 0.702)
Nd (0.005, 0.505, 0.702)
Cd (0.859, 0.641, 0.000)

Results
ΔE_f = -0.371 eV/atom
calculated volume = 31.50 Å³/atom
energy = -4.06 eV per atom
total magnetic moment = 0.00 μB per cell

=====

No. 7
Below is a relaxed NdCdBi3 crystal, with properties calculated at the PBE level.

a b c (Å): 6.559 6.532 14.185
angles (deg): 90.00 90.00 90.00
Positions (direct):
Bi (0.750, 0.519, 0.271)
Bi (0.750, 0.828, 0.082)
Cd (0.000, 0.250, 0.120)
Bi (0.500, 0.250, 0.500)
Bi (0.000, 0.250, 0.500)
Cd (0.500, 0.750, 0.880)
Bi (0.750, 0.328, 0.918)
Bi (0.500, 0.750, 0.500)
Cd (0.000, 0.750, 0.880)
Cd (0.500, 0.250, 0.120)
Nd (0.250, 0.488, 0.319)
Nd (0.750, 0.512, 0.681)
Bi (0.250, 0.172, 0.918)
Bi (0.250, 0.481, 0.729)
Bi (0.750, 0.019, 0.729)
Bi (0.250, 0.981, 0.271)
Nd (0.250, 0.988, 0.681)
Bi (0.000, 0.750, 0.500)
Nd (0.750, 0.012, 0.319)
Bi (0.250, 0.672, 0.082)

Results
ΔE_f = -0.352 eV/atom
calculated volume = 30.38 Å³/atom
energy = -3.82 eV per atom
total magnetic moment = 0.00 μB per cell

=====

No. 8
Below is a relaxed NdCdBi2 crystal, with properties calculated at the PBE level.

a b c (Å): 4.614 4.614 11.021
angles (deg): 90.00 90.00 90.00
Positions (direct):
Bi (0.000, 0.500, 0.791)
Cd (0.500, 0.500, 0.000)
Bi (0.500, 0.000, 0.209)
Nd (0.500, 0.000, 0.732)
Cd (0.000, 0.000, 0.000)
Bi (0.000, 0.000, 0.500)
Nd (0.000, 0.500, 0.268)
Bi (0.500, 0.500, 0.500)

Results
ΔE_f = -0.460 eV/atom
calculated volume = 29.33 Å³/atom
energy = -3.82 eV per atom
total magnetic moment = 0.00 μB per cell